No. 1
## Ba2YZr (PBE)

Data for an optimized crystal structure of Ba2YZr.

```
4
Lattice="-1.5794 2.1408 -5.7664 0.1281 -5.1755 -3.6779 -3.0365 0.8642 5.5101" Properties=species:S:1:pos:R:3 pbc="T T T"
Ba 0.0000 0.0000 0.0000
Ba -1.8170 -2.9143 -1.4449
Y -0.7257 -1.5173 -4.7221
Zr -2.6708 0.7439 -2.4892
```

Values from the calculation:
Formation energy, meV per atom: 558
Polymorph energy (0 for the lowest one), meV per atom: 242.2
Space group: I-4m2 (119)

***

No. 2
## Ce3Pr2Se8 (PBE)

Data for an optimized crystal structure of Ce3Pr2Se8.

```
13
Lattice="5.0310 0.0000 0.0000 0.0000 8.8267 -5.0716 0.0000 -0.8210 8.7869" Properties=species:S:1:pos:R:3 pbc="T T T"
Ce 2.5155 0.0000 0.0000
Ce 0.0000 1.6031 7.3936
Ce 0.0000 6.4026 -3.6783
Pr 2.5155 1.9290 3.3560
Pr 2.5155 6.0767 0.3592
Se 0.0000 5.3145 -0.9668
Se 5.0310 2.6911 4.6821
Se 5.0310 0.8281 1.4411
Se 0.0000 7.1776 2.2742
Se 2.5155 5.0299 3.3953
Se 2.5155 0.4008 6.0545
Se 2.5155 7.6049 -2.3392
Se 2.5155 2.9758 0.3200
```

Values from the calculation:
Polymorph energy (0 for the lowest one), meV per atom: 41.5
Space group: Cmmm (65)

***

No. 3
## PmSmCdGe (PBE)

Data for an optimized crystal structure of PmSmCdGe.

```
4
Lattice="5.2560 0.0000 0.0000 2.6280 4.5518 0.0000 2.6280 1.5173 4.2915" Properties=species:S:1:pos:R:3 pbc="T T T"
Ge 2.6280 1.5173 1.0729
Cd 7.8840 4.5518 3.2186
Sm 5.2560 3.0346 2.1458
Pm 0.0000 0.0000 0.0000
```

Values from the calculation:
Formation energy, meV per atom: -488
Space group: F-43m (216)

***

No. 4
## Ba2InH2 (PBE)

Data for an optimized crystal structure of Ba2InH2.

```
10
Lattice="-1.8877 -5.9037 5.5475 0.8356 -5.8076 -5.8962 3.5223 -0.3413 0.8354" Properties=species:S:1:pos:R:3 pbc="T T T"
H 0.0193 -7.3402 -3.0802
H -1.1399 -8.7959 1.2126
H -1.0714 -4.3711 2.7315
H 0.0878 -2.9155 -1.5613
Ba 1.9935 -5.1384 -2.5919
Ba 1.1730 -8.9471 -0.6880
Ba 0.4766 -6.9142 3.0785
Ba 1.2972 -3.1056 1.1747
In 0.0000 0.0000 0.0000
In -0.5260 -5.8557 -0.1743
```

Values from the calculation:
Polymorph energy (0 for the lowest one), meV per atom: 208.2
Space group: P4/mbm (127)

***

No. 5
## Na2MgCdSb (PBE)

Data for an optimized crystal structure of Na2MgCdSb.

```
5
Lattice="5.7705 0.0000 0.0000 0.0000 5.4561 0.0000 0.0000 0.0000 5.7705" Properties=species:S:1:pos:R:3 pbc="T T T"
Sb 0.0000 2.7280 0.0000
Mg 2.8852 2.7280 2.8852
Na 0.0000 0.0000 2.8852
Na 2.8852 0.0000 0.0000
Cd 0.0000 0.0000 0.0000
```

Values from the calculation:
Space group: P4/mmm (123)
DFT total energy, eV per atom: -1.603

***

No. 6
## BaHN (PBE)

Data for an optimized crystal structure of BaHN.

```
6
Lattice="3.0421 0.0000 0.0000 0.0000 5.2039 0.0000 -1.5210 0.0000 5.3702" Properties=species:S:1:pos:R:3 pbc="T T T"
H 1.5210 1.3010 1.4699
H 0.0000 3.9029 3.9003
Ba 1.5210 3.9029 1.2356
Ba 0.0000 1.3010 4.1346
N 1.5210 3.9029 4.0758
N 0.0000 1.3010 1.2944
```

Values from the calculation:
Space group: Cmcm (63)
DFT total energy, eV per atom: -4.473

***

Copy entry 6 word for word.
## BaHN (PBE)

Data for an optimized crystal structure of BaHN.

```
6
Lattice="3.0421 0.0000 0.0000 0.0000 5.2039 0.0000 -1.5210 0.0000 5.3702" Properties=species:S:1:pos:R:3 pbc="T T T"
H 1.5210 1.3010 1.4699
H 0.0000 3.9029 3.9003
Ba 1.5210 3.9029 1.2356
Ba 0.0000 1.3010 4.1346
N 1.5210 3.9029 4.0758
N 0.0000 1.3010 1.2944
```

Values from the calculation:
Space group: Cmcm (63)
DFT total energy, eV per atom: -4.473